(1)
Material: Sr2YO
Method: DFT, GGA-PBE
State: optimized geometry

Values from the calculation:
As for the volume: 298.17 Å³ per cell. The density comes out at 3.12 g/cm³. Its total energy is -4.64 eV/atom. As for the raw formation energy: -0.95 eV/atom.

Cell lengths 7.4657, 7.4657, 7.4657 Å; angles 119.09, 119.09, 91.59 degrees
Fractional coordinates of all 8 atoms:
Sr1 0.3750 0.0585 0.1835
Sr2 0.8085 0.6250 0.6835
Sr3 0.8750 0.1915 0.8165
Sr4 0.9415 0.1250 0.3165
Y1 0.2500 0.7500 0.5000
Y2 0.5000 0.5000 0.0000
O1 0.0000 0.0000 0.0000
O2 0.7500 0.2500 0.5000

***

(2)
Material: Sr2YZnO
Method: DFT, GGA-PBE
State: optimized geometry

Values from the calculation:
As for the volume: 131.20 Å³ per cell. The density comes out at 4.37 g/cm³. Its total energy is -4.30 eV/atom. As for the raw formation energy: -1.09 eV/atom.

Cell lengths 5.3738, 5.3738, 4.5434 Å; angles 90.00, 90.00, 90.00 degrees
Fractional coordinates of all 5 atoms:
Sr1 0.0000 0.5000 0.0000
Sr2 0.5000 0.0000 0.0000
Y1 0.0000 0.0000 0.5000
Zn1 0.5000 0.5000 0.5000
O1 0.0000 0.0000 0.0000

***

(3)
Material: Sr2YZrO6
Method: DFT, GGA-PBE
State: optimized geometry

Values from the calculation:
As for the volume: 304.70 Å³ per cell. The density comes out at 4.92 g/cm³. Its total energy is -7.80 eV/atom. As for the raw formation energy: -2.99 eV/atom.

Cell lengths 5.9342, 6.0759, 10.3250 Å; angles 90.00, 125.07, 90.00 degrees
Fractional coordinates of all 20 atoms:
Sr1 0.2381 0.0443 0.2515
Sr2 0.2381 0.4557 0.7515
Sr3 0.7619 0.5443 0.2485
Sr4 0.7619 0.9557 0.7485
Y1 0.5000 0.0000 0.0000
Y2 0.5000 0.5000 0.5000
Zr1 0.0000 0.0000 0.5000
Zr2 0.0000 0.5000 0.0000
O1 0.1442 0.2181 0.9457
O2 0.1442 0.2819 0.4457
O3 0.2353 0.7009 0.9509
O4 0.2353 0.7991 0.4509
O5 0.3376 0.0359 0.7411
O6 0.3376 0.4641 0.2411
O7 0.6624 0.5359 0.7589
O8 0.6624 0.9641 0.2589
O9 0.7647 0.2009 0.5491
O10 0.7647 0.2991 0.0491
O11 0.8558 0.7181 0.5543
O12 0.8558 0.7819 0.0543

***

(4)
Material: SrYbO3
Method: DFT, GGA-PBE
State: optimized geometry

Values from the calculation:
As for the volume: 78.86 Å³ per cell. The density comes out at 6.50 g/cm³. Its total energy is -5.91 eV/atom. As for the raw formation energy: -2.30 eV/atom.

Cell lengths 4.2883, 4.2883, 4.2883 Å; angles 90.00, 90.00, 90.00 degrees
Fractional coordinates of all 5 atoms:
Sr1 0.0000 0.0000 0.0000
Yb1 0.5000 0.5000 0.5000
O1 0.0000 0.5000 0.5000
O2 0.5000 0.0000 0.5000
O3 0.5000 0.5000 0.0000